Entry 1:
Computed, not measured: a relaxed structure of Li7In2Pd2 at the GGA-PBE level of DFT.

Cell: 7.2752 7.2752 4.0677 Å, 106.23 106.23 69.46°
Fractional positions:
Li1 0.0000 0.0000 0.0000
Li2 0.0977 0.5970 0.8469
Li3 0.1733 0.1733 0.6735
Li4 0.4030 0.9023 0.1531
Li5 0.5970 0.0977 0.8469
Li6 0.8267 0.8267 0.3265
Li7 0.9023 0.4030 0.1531
In1 0.3650 0.3650 0.3634
In2 0.6350 0.6350 0.6366
Pd1 0.2120 0.7880 0.5000
Pd2 0.7880 0.2120 0.5000

Output
Calculated formation energy   -0.294 eV per atom
Symmetry   C2/m, No. 12

=====

Entry 2:
Computed, not measured: a relaxed structure of TbPmGdCd at the GGA-PBE level of DFT.

Cell: 5.5021 5.5021 5.5021 Å, 60.00 60.00 60.00°
Fractional positions:
Tb1 0.0000 0.0000 0.0000
Pm1 0.2500 0.2500 0.2500
Gd1 0.5000 0.5000 0.5000
Cd1 0.7500 0.7500 0.7500

Output
Calculated formation energy   -0.013 eV per atom
Symmetry   F-43m, No. 216

=====

Entry 3:
Computed, not measured: a relaxed structure of CsGeSe2 at the GGA-PBE level of DFT.

Cell: 7.3890 7.3890 6.7955 Å, 113.38 113.38 94.98°
Fractional positions:
Cs1 0.1196 0.8804 0.5000
Cs2 0.8804 0.1196 0.0000
Ge1 0.3928 0.6482 0.9998
Ge2 0.6482 0.3928 0.4998
Se1 0.0210 0.4224 0.6464
Se2 0.4224 0.0210 0.1464
Se3 0.5214 0.6702 0.4110
Se4 0.6702 0.5214 0.9110

Output
Formation energy without anion corrections   -659.0 meV per atom
Symmetry   Cc, No. 9